# LiPr6Ag

Crystalline LiPr6Ag at its relaxed geometry (GGA-PBE, the Alexandria database).

Calculated values
SG: I4/mmm, No. 139
ΔH_f (0 K), eV per atom: -0.026

a = 9.8227 Å, b = 9.8227 Å, c = 9.8227 Å
α = 148.73°, β = 148.73°, γ = 44.81°
Sites, in units of the cell vectors:
Li  0.0000  0.0000  0.0000
Pr  0.1082  0.6082  0.5000
Pr  0.2475  0.2475  0.0000
Pr  0.3918  0.8918  0.5000
Pr  0.6082  0.1082  0.5000
Pr  0.7525  0.7525  0.0000
Pr  0.8918  0.3918  0.5000
Ag  0.5000  0.5000  0.0000


# Cs3MoRu

Crystalline Cs3MoRu at its relaxed geometry (GGA-PBE, the Alexandria database).

Calculated values
SG: Pm-3m, No. 221
ΔH_f (0 K), eV per atom: 2.170

a = 6.2748 Å, b = 6.2748 Å, c = 6.2748 Å
α = 90.00°, β = 90.00°, γ = 90.00°
Sites, in units of the cell vectors:
Cs  0.0000  0.0000  0.5000
Cs  0.0000  0.5000  0.0000
Cs  0.5000  0.0000  0.0000
Mo  0.0000  0.0000  0.0000
Ru  0.5000  0.5000  0.5000


# Sm4AlAu

Crystalline Sm4AlAu at its relaxed geometry (GGA-PBE, the Alexandria database).

Calculated values
SG: Cmc2_1, No. 36
ΔH_f (0 K), eV per atom: -0.223

a = 11.2518 Å, b = 11.2518 Å, c = 6.4153 Å
α = 90.00°, β = 90.00°, γ = 152.41°
Sites, in units of the cell vectors:
Sm  0.0600  0.9400  0.5000
Sm  0.1926  0.8074  0.7864
Sm  0.2154  0.7846  0.3047
Sm  0.3820  0.6180  0.5604
Sm  0.6180  0.3820  0.0604
Sm  0.7846  0.2154  0.8047
Sm  0.8074  0.1926  0.2864
Sm  0.9400  0.0600  0.0000
Al  0.3399  0.6601  0.0401
Al  0.6601  0.3399  0.5401
Au  0.0732  0.9268  0.0119
Au  0.9268  0.0732  0.5119


# NdDy3YTh

Crystalline NdDy3YTh at its relaxed geometry (GGA-PBE, the Alexandria database).

Calculated values
SG: P2_1/m, No. 11
ΔH_f (0 K), eV per atom: 0.032

a = 7.9682 Å, b = 5.0779 Å, c = 10.1605 Å
α = 90.00°, β = 108.61°, γ = 90.00°
Sites, in units of the cell vectors:
Nd  0.0003  0.2500  0.1293
Nd  0.9997  0.7500  0.8707
Dy  0.3256  0.2500  0.4578
Dy  0.3323  0.7500  0.2101
Dy  0.3340  0.2500  0.9565
Dy  0.6660  0.7500  0.0435
Dy  0.6677  0.2500  0.7899
Dy  0.6744  0.7500  0.5422
Y  0.3286  0.7500  0.7061
Y  0.6714  0.2500  0.2939
Th  0.9998  0.2500  0.6215
Th  0.0002  0.7500  0.3785


# LaZn2Au

Crystalline LaZn2Au at its relaxed geometry (GGA-PBE, the Alexandria database).

Calculated values
SG: I-42d, No. 122
ΔH_f (0 K), eV per atom: -0.251

a = 9.8980 Å, b = 9.8980 Å, c = 9.8980 Å
α = 153.04°, β = 153.04°, γ = 38.49°
Sites, in units of the cell vectors:
La  0.0000  0.0000  0.0000
La  0.7500  0.2500  0.5000
Zn  0.2798  0.6250  0.1548
Zn  0.3750  0.5298  0.6548
Zn  0.4702  0.1250  0.8452
Zn  0.8750  0.7202  0.3452
Au  0.2500  0.7500  0.5000
Au  0.5000  0.5000  0.0000


# Cd9GaHg6

Crystalline Cd9GaHg6 at its relaxed geometry (GGA-PBE, the Alexandria database).

Calculated values
SG: I4/m, No. 87
ΔH_f (0 K), eV per atom: 0.036

a = 8.6386 Å, b = 8.6386 Å, c = 8.6386 Å
α = 128.60°, β = 128.60°, γ = 75.66°
Sites, in units of the cell vectors:
Cd  0.0000  0.0000  0.0000
Cd  0.0432  0.8413  0.5516
Cd  0.1587  0.7103  0.2019
Cd  0.2897  0.4916  0.4484
Cd  0.4916  0.0432  0.2019
Cd  0.5084  0.9568  0.7981
Cd  0.7103  0.5084  0.5516
Cd  0.8413  0.2897  0.7981
Cd  0.9568  0.1587  0.4484
Ga  0.5000  0.5000  0.0000
Hg  0.1584  0.6364  0.7949
Hg  0.2903  0.2903  0.0000
Hg  0.3636  0.1584  0.5220
Hg  0.6364  0.8416  0.4780
Hg  0.7097  0.7097  0.0000
Hg  0.8416  0.3636  0.2051


# UPaTeN2

Crystalline UPaTeN2 at its relaxed geometry (GGA-PBE, the Alexandria database).

Calculated values
SG: I4mm, No. 107
Total DFT energy (no corrections), Ry/atom: -0.7030

a = 6.9067 Å, b = 6.9067 Å, c = 6.9067 Å
α = 146.99°, β = 146.99°, γ = 47.37°
Sites, in units of the cell vectors:
U  0.0000  0.0000  0.0000
Pa  0.3178  0.3178  0.0000
Te  0.6587  0.6587  0.0000
N  0.4073  0.9073  0.5000
N  0.9073  0.4073  0.5000


# LaOs2C

Crystalline LaOs2C at its relaxed geometry (GGA-PBE, the Alexandria database).

Calculated values
SG: P2_1/m, No. 11
ΔH_f (0 K), eV per atom: 0.174

a = 5.0081 Å, b = 6.2208 Å, c = 5.0732 Å
α = 90.00°, β = 90.34°, γ = 90.00°
Sites, in units of the cell vectors:
La  0.0004  0.2500  0.2017
La  0.9996  0.7500  0.7983
Os  0.4993  0.0229  0.7609
Os  0.4993  0.4771  0.7609
Os  0.5007  0.5229  0.2391
Os  0.5007  0.9771  0.2391
C  0.4988  0.7500  0.5431
C  0.5012  0.2500  0.4569


# Li3Sc2TiS6

Crystalline Li3Sc2TiS6 at its relaxed geometry (GGA-PBE, the Alexandria database).

Calculated values
SG: C2/m, No. 12
Total DFT energy (no corrections), Ry/atom: -0.4324

a = 6.2862 Å, b = 6.2862 Å, c = 6.4442 Å
α = 99.38°, β = 99.38°, γ = 120.00°
Sites, in units of the cell vectors:
Li  0.0000  0.0000  0.0000
Li  0.3333  0.6667  0.0000
Li  0.6667  0.3333  0.0000
Sc  0.1668  0.8332  0.5000
Sc  0.8332  0.1668  0.5000
Ti  0.5000  0.5000  0.5000
S  0.0958  0.4197  0.2597
S  0.2562  0.2562  0.7389
S  0.4197  0.0958  0.2597
S  0.5803  0.9042  0.7403
S  0.7438  0.7438  0.2611
S  0.9042  0.5803  0.7403


# Ca2La2Mn

Crystalline Ca2La2Mn at its relaxed geometry (GGA-PBE, the Alexandria database).

Calculated values
SG: P4/mbm, No. 127
Energy above the lowest structure with this stoichiometry, meV per atom: 0.0
ΔH_f (0 K), eV per atom: 0.345

a = 7.3999 Å, b = 7.3999 Å, c = 6.2838 Å
α = 90.00°, β = 90.00°, γ = 90.00°
Sites, in units of the cell vectors:
Ca  0.1756  0.3244  0.0000
Ca  0.3244  0.8244  0.0000
Ca  0.6756  0.1756  0.0000
Ca  0.8244  0.6756  0.0000
La  0.1652  0.6652  0.5000
La  0.3348  0.1652  0.5000
La  0.6652  0.8348  0.5000
La  0.8348  0.3348  0.5000
Mn  0.0000  0.0000  0.5000
Mn  0.5000  0.5000  0.5000


# SbTe2RuAu

Crystalline SbTe2RuAu at its relaxed geometry (GGA-PBE, the Alexandria database).

Calculated values
SG: P4/mmm, No. 123
Energy above the lowest structure with this stoichiometry, meV per atom: 0.0

a = 5.2380 Å, b = 5.2380 Å, c = 5.0251 Å
α = 90.00°, β = 90.00°, γ = 90.00°
Sites, in units of the cell vectors:
Sb  0.0000  0.0000  0.0000
Te  0.0000  0.5000  0.5000
Te  0.5000  0.0000  0.5000
Ru  0.0000  0.0000  0.5000
Au  0.5000  0.5000  0.0000


# AcPr6Ho2

Crystalline AcPr6Ho2 at its relaxed geometry (GGA-PBE, the Alexandria database).

Calculated values
SG: P-6m2, No. 187
Energy above the lowest structure with this stoichiometry, meV per atom: 9.5
ΔH_f (0 K), eV per atom: 0.063

a = 3.7037 Å, b = 3.7037 Å, c = 27.6244 Å
α = 90.00°, β = 90.00°, γ = 120.00°
Sites, in units of the cell vectors:
Ac  0.0000  0.0000  0.0000
Pr  0.0000  0.0000  0.2264
Pr  0.0000  0.0000  0.4341
Pr  0.0000  0.0000  0.5659
Pr  0.0000  0.0000  0.7736
Pr  0.3333  0.6667  0.1164
Pr  0.3333  0.6667  0.8836
Ho  0.3333  0.6667  0.3324
Ho  0.3333  0.6667  0.6676


# In2BPt

Crystalline In2BPt at its relaxed geometry (GGA-PBE, the Alexandria database).

Calculated values
SG: I-42d, No. 122
ΔH_f (0 K), eV per atom: 0.551

a = 5.7975 Å, b = 5.7975 Å, c = 5.7975 Å
α = 107.44°, β = 107.44°, γ = 113.62°
Sites, in units of the cell vectors:
In  0.0806  0.6250  0.9556
In  0.3750  0.3306  0.4556
In  0.6694  0.1250  0.0444
In  0.8750  0.9194  0.5444
B  0.0000  0.0000  0.0000
B  0.7500  0.2500  0.5000
Pt  0.2500  0.7500  0.5000
Pt  0.5000  0.5000  0.0000


# Li4CeGe4

Crystalline Li4CeGe4 at its relaxed geometry (GGA-PBE, the Alexandria database).

Calculated values
SG: P4_2/nmc, No. 137
ΔH_f (0 K), eV per atom: -0.343

a = 6.1303 Å, b = 6.1303 Å, c = 8.7192 Å
α = 90.00°, β = 90.00°, γ = 90.00°
Sites, in units of the cell vectors:
Li  0.0086  0.2500  0.1586
Li  0.2500  0.0086  0.6586
Li  0.2500  0.4914  0.6586
Li  0.4914  0.2500  0.1586
Li  0.5086  0.7500  0.8414
Li  0.7500  0.5086  0.3414
Li  0.7500  0.9914  0.3414
Li  0.9914  0.7500  0.8414
Ce  0.2500  0.7500  0.2500
Ce  0.7500  0.2500  0.7500
Ge  0.0463  0.2500  0.4581
Ge  0.2500  0.0463  0.9581
Ge  0.2500  0.4537  0.9581
Ge  0.4537  0.2500  0.4581
Ge  0.5463  0.7500  0.5419
Ge  0.7500  0.5463  0.0419
Ge  0.7500  0.9537  0.0419
Ge  0.9537  0.7500  0.5419


# La2NiGe4Ir3

Crystalline La2NiGe4Ir3 at its relaxed geometry (GGA-PBE, the Alexandria database).

Calculated values
SG: P-4m2, No. 115
ΔH_f (0 K), eV per atom: -0.747

a = 4.3286 Å, b = 4.3286 Å, c = 10.0808 Å
α = 90.00°, β = 90.00°, γ = 90.00°
Sites, in units of the cell vectors:
La  0.0000  0.5000  0.2465
La  0.5000  0.0000  0.7535
Ni  0.0000  0.0000  0.5000
Ge  0.0000  0.0000  0.0000
Ge  0.0000  0.5000  0.6247
Ge  0.5000  0.0000  0.3753
Ge  0.5000  0.5000  0.0000
Ir  0.0000  0.5000  0.8719
Ir  0.5000  0.0000  0.1281
Ir  0.5000  0.5000  0.5000


# CsNa3U4S12

Crystalline CsNa3U4S12 at its relaxed geometry (GGA-PBE, the Alexandria database).

Calculated values
SG: Im-3, No. 204
Total DFT energy (no corrections), Ry/atom: -0.4579

a = 8.7919 Å, b = 8.7919 Å, c = 8.7919 Å
α = 109.47°, β = 109.47°, γ = 109.47°
Sites, in units of the cell vectors:
Cs  0.0000  0.0000  0.0000
Na  0.0000  0.5000  0.5000
Na  0.5000  0.0000  0.5000
Na  0.5000  0.5000  0.0000
U  0.0000  0.0000  0.5000
U  0.0000  0.5000  0.0000
U  0.5000  0.0000  0.0000
U  0.5000  0.5000  0.5000
S  0.0910  0.7971  0.2939
S  0.2029  0.2939  0.4968
S  0.2029  0.7061  0.9090
S  0.2939  0.0910  0.7971
S  0.2939  0.4968  0.2029
S  0.4968  0.2029  0.2939
S  0.5032  0.7971  0.7061
S  0.7061  0.5032  0.7971
S  0.7061  0.9090  0.2029
S  0.7971  0.2939  0.0910
S  0.7971  0.7061  0.5032
S  0.9090  0.2029  0.7061


# SrCaPr2In4

Crystalline SrCaPr2In4 at its relaxed geometry (GGA-PBE, the Alexandria database).

Calculated values
SG: R-3m, No. 166
ΔH_f (0 K), eV per atom: -0.440

a = 9.6396 Å, b = 9.6396 Å, c = 9.6396 Å
α = 33.49°, β = 33.49°, γ = 33.49°
Sites, in units of the cell vectors:
Sr  0.0000  0.0000  0.0000
Ca  0.5000  0.5000  0.5000
Pr  0.2486  0.2486  0.2486
Pr  0.7514  0.7514  0.7514
In  0.1264  0.1264  0.1264
In  0.3763  0.3763  0.3763
In  0.6237  0.6237  0.6237
In  0.8736  0.8736  0.8736


# Nd2DyZnS5

Crystalline Nd2DyZnS5 at its relaxed geometry (GGA-PBE, the Alexandria database).

Calculated values
SG: Cmc2_1, No. 36
Total DFT energy (no corrections), Ry/atom: -0.4230

a = 8.7019 Å, b = 8.7019 Å, c = 11.9867 Å
α = 90.00°, β = 90.00°, γ = 154.28°
Sites, in units of the cell vectors:
Nd  0.1147  0.8853  0.5000
Nd  0.1317  0.8683  0.1356
Nd  0.8683  0.1317  0.6356
Nd  0.8853  0.1147  0.0000
Dy  0.1972  0.8028  0.8318
Dy  0.8028  0.1972  0.3318
Zn  0.4548  0.5452  0.2613
Zn  0.5452  0.4548  0.7613
S  0.0388  0.9612  0.8663
S  0.2911  0.7089  0.4913
S  0.3169  0.6831  0.1710
S  0.3559  0.6441  0.8205
S  0.4930  0.5070  0.5868
S  0.5070  0.4930  0.0868
S  0.6441  0.3559  0.3205
S  0.6831  0.3169  0.6710
S  0.7089  0.2911  0.9913
S  0.9612  0.0388  0.3663


# MgAlSi2O6

Crystalline MgAlSi2O6 at its relaxed geometry (GGA-PBE, the Alexandria database).

Calculated values
SG: C2/c, No. 15
Total DFT energy (no corrections), Ry/atom: -0.5256

a = 6.6964 Å, b = 6.6964 Å, c = 5.3892 Å
α = 104.75°, β = 104.75°, γ = 84.71°
Sites, in units of the cell vectors:
Mg  0.1066  0.8934  0.7500
Mg  0.8934  0.1066  0.2500
Al  0.2456  0.7544  0.2500
Al  0.7544  0.2456  0.7500
Si  0.2032  0.3818  0.7734
Si  0.3818  0.2032  0.2734
Si  0.6182  0.7968  0.7266
Si  0.7968  0.6182  0.2266
O  0.0134  0.2108  0.6593
O  0.1321  0.6228  0.8757
O  0.2108  0.0134  0.1593
O  0.3031  0.3632  0.5194
O  0.3632  0.3031  0.0194
O  0.3772  0.8679  0.6243
O  0.6228  0.1321  0.3757
O  0.6368  0.6969  0.9806
O  0.6969  0.6368  0.4806
O  0.7892  0.9866  0.8407
O  0.8679  0.3772  0.1243
O  0.9866  0.7892  0.3407


# GaHgI2N

Crystalline GaHgI2N at its relaxed geometry (GGA-PBE, the Alexandria database).

Calculated values
SG: P4/mmm, No. 123
Energy above the lowest structure with this stoichiometry, meV per atom: 0.0

a = 7.3929 Å, b = 7.3929 Å, c = 3.3099 Å
α = 90.00°, β = 90.00°, γ = 90.00°
Sites, in units of the cell vectors:
Ga  0.0000  0.0000  0.0000
Hg  0.5000  0.5000  0.5000
I  0.0000  0.5000  0.0000
I  0.5000  0.0000  0.0000
N  0.0000  0.0000  0.5000